(1)
First-principles (PBE-GGA) data for a relaxed ReHgTe2 crystal, as listed in the Alexandria database.

```
ReHgTe2
1.0
4.397 0.000 0.000
0.000 4.397 0.000
0.000 0.000 4.687
Re Hg Te
1 1 2
Direct
0.000 0.000 0.000 Re
0.500 0.500 0.000 Hg
0.000 0.500 0.500 Te
0.500 0.000 0.500 Te
```

Properties
Size of the total moment ... 1.3 μB/cell
Polymorph energy (0 for the lowest one) ... 927.8 meV/atom
Formation energy without anion corrections ... 1.151 eV/atom
D(E_F) ... 0.922 states/eV per atom
ρ ... 11.77 g/cm3

=====

(2)
First-principles (PBE-GGA) data for a relaxed Ac4Si2PCl crystal, as listed in the Alexandria database.

```
Ac4Si2PCl
1.0
-3.170 3.170 6.358
3.170 -3.170 6.358
3.170 3.170 -6.358
Ac Si P Cl
4 2 1 1
Direct
0.000 0.500 0.500 Ac
0.240 0.240 0.000 Ac
0.500 0.000 0.500 Ac
0.760 0.760 0.000 Ac
0.250 0.750 0.500 Si
0.750 0.250 0.500 Si
0.000 0.000 0.000 P
0.500 0.500 0.000 Cl
```

Properties
Size of the total moment ... 0.0 μB/cell
Formation energy without anion corrections ... -1.076 eV/atom
D(E_F) ... 0.268 states/eV per atom
ρ ... 6.70 g/cm3

=====

(3)
First-principles (PBE-GGA) data for a relaxed RbMgIn2Ru crystal, as listed in the Alexandria database.

```
RbMgIn2Ru
1.0
5.262 0.000 0.000
0.000 5.262 0.000
0.000 0.000 5.191
Rb Mg In Ru
1 1 2 1
Direct
0.000 0.000 0.000 Rb
0.500 0.500 0.000 Mg
0.000 0.500 0.500 In
0.500 0.000 0.500 In
0.500 0.500 0.500 Ru
```

Properties
Size of the total moment ... 0.0 μB/cell
Polymorph energy (0 for the lowest one) ... 0.0 meV/atom
D(E_F) ... 0.331 states/eV per atom
Energy relative to the elements ... -58 meV/atom
ρ ... 5.09 g/cm3

=====

(4)
First-principles (PBE-GGA) data for a relaxed AlAsO crystal, as listed in the Alexandria database.

```
AlAsO
1.0
3.042 0.000 0.000
0.000 6.479 0.000
0.000 0.000 4.826
Al As O
2 2 2
Direct
0.000 0.115 0.000 Al
0.500 0.885 0.500 Al
0.000 0.493 0.978 As
0.500 0.507 0.478 As
0.000 0.986 0.663 O
0.500 0.014 0.163 O
```

Properties
Size of the total moment ... 0.0 μB/cell
Polymorph energy (0 for the lowest one) ... 36.7 meV/atom
Formation energy without anion corrections ... -1.610 eV/atom
D(E_F) ... 0.201 states/eV per atom
ρ ... 4.12 g/cm3